VASP calculation (PBE-GGA) on crystalline Th8SiAs4S3 at its relaxed geometry.

```
Th8SiAs4S3
1.0
8.360 0.000 0.000
0.000 8.361 -0.005
-4.180 -4.176 5.914
Th As S Si
8 4 3 1
Direct
0.253 0.259 0.006
0.247 0.741 0.494
0.747 0.741 0.994
0.753 0.259 0.006
0.253 0.258 0.506
0.747 0.742 0.494
0.753 0.259 0.506
0.247 0.741 0.994
0.500 0.000 0.000
0.500 0.000 0.500
0.000 0.000 0.500
0.000 0.000 0.000
0.500 0.500 0.500
0.500 0.500 0.000
0.000 0.500 0.500
0.000 0.500 0.000
```

Properties
Raw formation energy = -1.484 eV/atom

VASP calculation (PBE-GGA) on crystalline Ba6Ir2I at its relaxed geometry.

```
Ba6Ir2I
1.0
6.210 0.000 0.000
-3.105 7.547 -0.921
0.000 -3.966 10.195
Ba Ir I
6 2 1
Direct
0.313 0.627 0.940
0.335 0.669 0.382
0.687 0.373 0.060
0.981 0.962 0.810
0.019 0.038 0.190
0.665 0.331 0.618
0.821 0.641 0.901
0.179 0.359 0.099
0.000 0.000 0.500
```

Properties
Relative energy among the computed polymorphs = 31 kJ/mol of formula units
Raw formation energy = -0.327 eV/atom

VASP calculation (PBE-GGA) on crystalline CaPrPd3 at its relaxed geometry.

```
CaPrPd3
1.0
6.947 0.000 0.000
0.000 7.847 0.000
0.000 0.000 8.102
Pd Ca Pr
12 4 4
Direct
0.500 0.500 0.752
0.619 0.143 0.244
0.119 0.357 0.256
0.500 0.500 0.248
0.381 0.857 0.244
0.000 0.000 0.748
0.381 0.857 0.756
0.119 0.357 0.744
0.881 0.643 0.256
0.881 0.643 0.744
0.000 0.000 0.252
0.619 0.143 0.756
0.791 0.365 0.000
0.709 0.865 0.500
0.209 0.635 0.000
0.291 0.135 0.500
0.281 0.142 0.000
0.219 0.642 0.500
0.781 0.358 0.500
0.719 0.858 0.000
```

Properties
Energy relative to the elements = -684 meV per atom

VASP calculation (PBE-GGA) on crystalline Hf3Cu2Pt at its relaxed geometry.

```
Hf3Cu2Pt
1.0
-1.335 -0.025 4.430
-3.013 -1.111 -3.331
1.536 -5.456 0.432
Cu Hf Pt
2 3 1
Direct
0.667 0.333 0.360
0.333 0.667 0.640
0.333 0.667 0.164
0.667 0.333 0.836
0.000 0.000 0.500
0.000 0.000 0.000
```

Properties
Energy relative to the elements = -436 meV per atom

VASP calculation (PBE-GGA) on crystalline DyZn4Mo at its relaxed geometry.

```
DyZn4Mo
1.0
5.202 0.000 0.000
2.601 4.505 0.000
2.601 1.502 4.248
Dy Zn Mo
1 4 1
Direct
0.000 0.000 0.000
0.624 0.624 0.624
0.624 0.624 0.129
0.129 0.624 0.624
0.624 0.129 0.624
0.250 0.250 0.250
```

Properties
Energy relative to the elements = -81 meV per atom

VASP calculation (PBE-GGA) on crystalline Ba4SrRh at its relaxed geometry.

```
Ba4SrRh
1.0
0.000 5.228 5.228
5.228 0.000 5.228
5.228 5.228 0.000
Rh Sr Ba
1 1 4
Direct
0.750 0.750 0.750
0.000 0.000 0.000
0.377 0.377 0.869
0.377 0.869 0.377
0.869 0.377 0.377
0.377 0.377 0.377
```

Properties
Relative energy among the computed polymorphs = 471 kJ/mol of formula units
Energy relative to the elements = 693 meV per atom

VASP calculation (PBE-GGA) on crystalline ZrCuCl at its relaxed geometry.

```
ZrCuCl
1.0
-1.505 1.026 3.878
-4.144 -0.589 0.915
-1.174 -3.087 2.728
Cu Cl Zr
1 1 1
Direct
0.000 0.000 0.000
0.250 0.250 0.250
0.500 0.500 0.500
```

Properties
Relative energy among the computed polymorphs = 179 kJ/mol of formula units
Raw formation energy = 0.123 eV/atom

VASP calculation (PBE-GGA) on crystalline Dy8OsPd2 at its relaxed geometry.

```
Dy8OsPd2
1.0
5.072 0.000 0.000
0.000 6.773 0.198
-2.536 -2.669 8.194
Os Dy Pd
1 8 2
Direct
0.500 0.000 0.000
0.410 0.564 0.820
0.336 0.031 0.671
0.664 0.969 0.329
0.968 0.205 0.937
0.799 0.686 0.599
0.032 0.795 0.063
0.590 0.436 0.180
0.201 0.314 0.401
0.812 0.286 0.624
0.188 0.714 0.376
```

Properties
Relative energy among the computed polymorphs = 0 kJ/mol of formula units
Energy relative to the elements = -395 meV per atom

VASP calculation (PBE-GGA) on crystalline TlPPbS4 at its relaxed geometry.

```
TlPPbS4
1.0
6.744 0.000 0.023
0.000 6.621 0.000
-2.614 0.000 8.407
Pb Tl S P
2 2 8 2
Direct
0.247 0.250 0.548
0.753 0.750 0.452
0.263 0.250 0.067
0.737 0.750 0.933
0.009 0.997 0.259
0.632 0.250 0.456
0.604 0.250 0.835
0.991 0.497 0.741
0.991 0.003 0.741
0.368 0.750 0.544
0.396 0.750 0.165
0.009 0.503 0.259
0.796 0.250 0.694
0.204 0.750 0.306
```

Properties
Relative energy among the computed polymorphs = 0 kJ/mol of formula units
Raw formation energy = -0.446 eV/atom

VASP calculation (PBE-GGA) on crystalline ZnBr at its relaxed geometry.

```
ZnBr
1.0
-2.087 -5.473 -5.931
3.420 -4.956 -5.765
-0.529 3.160 7.696
Br Zn
2 2
Direct
0.000 0.000 0.000
0.250 0.750 0.500
0.500 0.500 0.000
0.750 0.250 0.500
```

Properties
Raw formation energy = -0.123 eV/atom

VASP calculation (PBE-GGA) on crystalline YAlAsIr2 at its relaxed geometry.

```
YAlAsIr2
1.0
-4.087 -1.372 -2.540
0.271 -4.756 2.133
-2.875 1.538 3.795
As Ir Y Al
1 2 1 1
Direct
0.500 0.500 0.500
0.000 0.000 0.500
0.500 0.000 0.000
0.000 0.000 0.000
0.000 0.500 0.000
```

Properties
Energy relative to the elements = 1706 meV per atom

VASP calculation (PBE-GGA) on crystalline ThBe17Rh at its relaxed geometry.

```
ThBe17Rh
1.0
5.720 -0.012 0.662
0.588 5.689 0.662
-0.013 -0.012 5.758
Th Be Rh
1 17 1
Direct
0.652 0.652 0.652
0.099 0.099 0.099
0.509 0.993 0.993
0.012 0.710 0.284
0.654 0.156 0.654
0.335 0.335 0.880
0.710 0.284 0.012
0.993 0.993 0.509
0.012 0.284 0.710
0.335 0.880 0.335
0.284 0.710 0.012
0.284 0.012 0.710
0.880 0.335 0.335
0.993 0.509 0.993
0.156 0.654 0.654
0.907 0.907 0.907
0.710 0.012 0.284
0.654 0.654 0.156
0.320 0.320 0.320
```

Properties
Energy relative to the elements = -43 meV per atom